# 1
Below is a crystal of CsMg3 relaxed with PBEsol, with properties calculated at the SCAN level.

```
CsMg3
1.0
3.4637 0.0000 0.0000
0.0000 5.1237 0.0000
0.0000 0.0000 8.0051
Cs Mg
1 3
direct
0.0000 0.0000 0.0000
0.0000 0.5000 0.6253
0.5000 0.0000 0.5226
0.5000 0.5000 0.3079
```

Calculated values
As for the space-group type: Pmm2. The calculation puts the mass density at 2.4 Mg/m³. The density of states at the Fermi level is 2.0 states/eV per cell. Its formation energy is 25.1 kJ/mol of atoms. The value obtained for the total magnetization is 0.00 μB/f.u.



# 2
Below is a crystal of KHf3Br relaxed with PBEsol, with properties calculated at the SCAN level.

```
KHf3Br
1.0
5.0536 0.0000 0.0000
0.0000 5.0536 0.0000
0.0000 0.0000 5.0536
K Hf Br
1 3 1
direct
0.0000 0.0000 0.0000
0.0000 0.5000 0.5000
0.5000 0.0000 0.5000
0.5000 0.5000 0.0000
0.5000 0.5000 0.5000
```

Calculated values
As for the space-group type: Pm-3m. The calculation puts the mass density at 8.4 Mg/m³. The density of states at the Fermi level is 1.4 states/eV per cell. The value obtained for the total magnetization is 0.00 μB/f.u. For the formation energy without anion corrections, the calculation gives 0.9577 eV/atom.



# 3
Below is a crystal of SrCoHPt2 relaxed with PBEsol, with properties calculated at the SCAN level.

```
SrCoHPt2
1.0
3.9779 0.0000 0.0000
0.0000 3.9779 0.0000
0.0000 0.0000 4.4924
Sr Co H Pt
1 1 1 2
direct
0.0000 0.0000 0.0000
0.5000 0.5000 0.0000
0.0000 0.0000 0.5000
0.0000 0.5000 0.5000
0.5000 0.0000 0.5000
```

Calculated values
As for the space-group type: P4/mmm. The calculation puts the mass density at 12.6 Mg/m³. The density of states at the Fermi level is 3.0 states/eV per cell. The calculation puts the energy at -36.689 eV per atom. The value obtained for the total magnetization is 1.86 μB/f.u.



# 4
Below is a crystal of TaCd3Bi relaxed with PBEsol, with properties calculated at the SCAN level.

```
TaCd3Bi
1.0
5.2652 0.0000 0.0000
0.0000 5.2652 0.0000
0.0000 0.0000 5.2652
Ta Cd Bi
1 3 1
direct
0.0000 0.0000 0.0000
0.0000 0.0000 0.5000
0.0000 0.5000 0.0000
0.5000 0.0000 0.0000
0.5000 0.5000 0.5000
```

Calculated values
As for the space-group type: Pm-3m. The calculation puts the mass density at 8.3 Mg/m³. The density of states at the Fermi level is 3.0 states/eV per cell. Its formation energy is 106.1 kJ/mol of atoms. The value obtained for the total magnetization is 0.00 μB/f.u.



# 5
Below is a crystal of KCo2Ru relaxed with PBEsol, with properties calculated at the SCAN level.

```
KCo2Ru
1.0
4.0622 -1.3068 0.0000
4.0622 1.3068 0.0000
-0.4719 0.0000 6.6632
K Co Ru
1 2 1
direct
0.0000 0.0000 0.0000
0.2342 0.2342 0.6404
0.7658 0.7658 0.3596
0.5000 0.5000 0.5000
```

Calculated values
As for the space-group type: C2/m. The calculation puts the mass density at 6.1 Mg/m³. The density of states at the Fermi level is 3.2 states/eV per cell. Its formation energy is 76.3 kJ/mol of atoms. The value obtained for the total magnetization is 3.64 μB/f.u. The distance to the lowest polymorph of the same formula is 0.016 eV/atom.



# 6
Below is a crystal of AlOs2Br relaxed with PBEsol, with properties calculated at the SCAN level.

```
AlOs2Br
1.0
1.4515 0.8380 9.3095
-1.4515 0.8380 9.3095
0.0000 -1.6760 9.3095
Al Os Br
1 2 1
direct
0.0000 0.0000 0.0000
0.4748 0.4748 0.4748
0.7371 0.7371 0.7371
0.2651 0.2651 0.2651
```

Calculated values
As for the space-group type: R3m. The calculation puts the mass density at 11.9 Mg/m³. The density of states at the Fermi level is 4.0 states/eV per cell. The value obtained for the total magnetization is 0.00 μB/f.u. The distance to the lowest polymorph of the same formula is 0.000 eV/atom. For the formation energy without anion corrections, the calculation gives 0.4875 eV/atom.



# 7
Below is a crystal of Al5Hg relaxed with PBEsol, with properties calculated at the SCAN level.

```
Al5Hg
1.0
2.9276 0.0000 0.0000
0.0000 2.9276 0.0000
0.0000 0.0000 12.1230
Al Hg
5 1
direct
0.0000 0.0000 0.0000
0.0000 0.0000 0.3190
0.0000 0.0000 0.6810
0.5000 0.5000 0.1583
0.5000 0.5000 0.8417
0.5000 0.5000 0.5000
```

Calculated values
As for the space-group type: P4/mmm. The calculation puts the mass density at 5.4 Mg/m³. The density of states at the Fermi level is 2.0 states/eV per cell. Its formation energy is 7.0 kJ/mol of atoms. The value obtained for the total magnetization is 0.08 μB/f.u. The distance to the lowest polymorph of the same formula is 0.003 eV/atom.



# 8
Below is a crystal of CsBeGa3 relaxed with PBEsol, with properties calculated at the SCAN level.

```
CsBeGa3
1.0
4.8692 0.0000 0.0000
0.0000 4.8692 0.0000
0.0000 0.0000 4.8692
Cs Be Ga
1 1 3
direct
0.0000 0.0000 0.0000
0.5000 0.5000 0.5000
0.0000 0.5000 0.5000
0.5000 0.0000 0.5000
0.5000 0.5000 0.0000
```

Calculated values
As for the space-group type: Pm-3m. The calculation puts the mass density at 5.0 Mg/m³. The density of states at the Fermi level is 4.0 states/eV per cell. Its formation energy is 39.0 kJ/mol of atoms. The value obtained for the total magnetization is 0.00 μB/f.u.